No. 1
The following is a DFT calculation (GGA-PBEsol) of a relaxed Zn4Cu3 crystal.

Cell lengths 4.6710, 4.7441, 4.7441 Å; angles 120.00, 90.00, 90.00 degrees
Closest atoms and distances in Å follow each position.
Sites, in units of the cell vectors:
Cu 0.0000 0.0000 0.5000  4 Cu 2.37, 4 Zn 2.65
Cu 0.0000 0.5000 0.0000  4 Cu 2.37, 4 Zn 2.65
Cu 0.0000 0.5000 0.5000  4 Cu 2.37, 4 Zn 2.65
Zn 0.7489 0.0000 0.0000  2 Zn 2.33-2.35
Zn 0.2511 0.0000 0.0000  2 Zn 2.33-2.35
Zn 0.5000 0.3333 0.6667  6 Cu 2.71, 9 Zn 2.74-2.98
Zn 0.5000 0.6667 0.3333  6 Cu 2.71, 9 Zn 2.74-2.98

Results
energy above the lowest structure with this stoichiometry = 49 meV/atom
symmetry = No. 191


No. 2
The following is a DFT calculation (GGA-PBEsol) of a relaxed ZnCu5 crystal.

Cell lengths 2.5738, 4.1269, 6.6672 Å; angles 90.00, 101.13, 90.00 degrees
Closest atoms and distances in Å follow each position.
Sites, in units of the cell vectors:
Cu 0.0029 0.0000 0.0057  10 Cu 2.52-2.57, 2 Zn 2.56
Cu 0.6681 0.0000 0.3362  12 Cu 2.52-2.57
Cu 0.3334 0.0000 0.6668  8 Cu 2.52-2.57, 4 Zn 2.53
Cu 0.5555 0.5000 0.1111  10 Cu 2.50-2.57, 2 Zn 2.55
Cu 0.2192 0.5000 0.4384  10 Cu 2.50-2.57, 2 Zn 2.55
Zn 0.8876 0.5000 0.7752  10 Cu 2.53-2.56, 2 Zn 2.57

Results
symmetry = No. 38


No. 3
The following is a DFT calculation (GGA-PBEsol) of a relaxed ZnCu2 crystal.

Cell lengths 2.6030, 6.9209, 6.9209 Å; angles 120.00, 90.00, 90.00 degrees
Closest atoms and distances in Å follow each position.
Sites, in units of the cell vectors:
Cu 0.0000 0.6954 0.6954  4 Zn 2.41-2.48, 8 Cu 2.60-2.67
Cu 0.0000 0.0000 0.3046  4 Zn 2.41-2.48, 8 Cu 2.60-2.67
Cu 0.0000 0.3046 0.0000  4 Zn 2.41-2.48, 8 Cu 2.60-2.67
Cu 0.5000 0.3619 0.3619  5 Zn 2.50-2.57, 8 Cu 2.60-2.67
Cu 0.5000 0.0000 0.6381  5 Zn 2.50-2.57, 8 Cu 2.60-2.67
Cu 0.5000 0.6381 0.0000  5 Zn 2.50-2.57, 8 Cu 2.60-2.67
Zn 0.0000 0.6667 0.3333  9 Cu 2.41-2.57, 2 Zn 2.60
Zn 0.0000 0.3333 0.6667  9 Cu 2.41-2.57, 2 Zn 2.60
Zn 0.5000 0.0000 0.0000  9 Cu 2.48-2.50, 2 Zn 2.60

Results
symmetry = No. 189


No. 4
The following is a DFT calculation (GGA-PBEsol) of a relaxed Zn5Cu24 crystal.

Cell lengths 7.6394, 7.6394, 7.6394 Å; angles 109.47, 109.47, 109.47 degrees
Closest atoms and distances in Å follow each position.
Sites, in units of the cell vectors:
Cu 0.8120 0.1914 0.1914  8 Cu 2.35-2.55
Cu 0.1880 0.3794 0.3794  8 Cu 2.35-2.55
Cu 0.0000 0.6206 0.8086  8 Cu 2.35-2.55
Cu 0.0000 0.8086 0.6206  8 Cu 2.35-2.55
Cu 0.6206 0.0000 0.8086  8 Cu 2.35-2.55
Cu 0.8086 0.0000 0.6206  8 Cu 2.35-2.55
Cu 0.3794 0.1880 0.3794  8 Cu 2.35-2.55
Cu 0.1914 0.8120 0.1914  8 Cu 2.35-2.55
Cu 0.6206 0.8086 0.0000  8 Cu 2.35-2.55
Cu 0.8086 0.6206 0.0000  8 Cu 2.35-2.55
Cu 0.1914 0.1914 0.8120  8 Cu 2.35-2.55
Cu 0.3794 0.3794 0.1880  8 Cu 2.35-2.55
Cu 0.2747 0.6846 0.6846  7 Cu 2.37-2.56, 1 Zn 2.47
Cu 0.7253 0.4100 0.4100  7 Cu 2.37-2.56, 1 Zn 2.47
Cu 0.0000 0.5900 0.3154  7 Cu 2.37-2.56, 1 Zn 2.47
Cu 0.0000 0.3154 0.5900  7 Cu 2.37-2.56, 1 Zn 2.47
Cu 0.5900 0.0000 0.3154  7 Cu 2.37-2.56, 1 Zn 2.47
Cu 0.3154 0.0000 0.5900  7 Cu 2.37-2.56, 1 Zn 2.47
Cu 0.4100 0.7253 0.4100  7 Cu 2.37-2.56, 1 Zn 2.47
Cu 0.6846 0.2747 0.6846  7 Cu 2.37-2.56, 1 Zn 2.47
Cu 0.5900 0.3154 0.0000  7 Cu 2.37-2.56, 1 Zn 2.47
Cu 0.3154 0.5900 0.0000  7 Cu 2.37-2.56, 1 Zn 2.47
Cu 0.6846 0.6846 0.2747  7 Cu 2.37-2.56, 1 Zn 2.47
Cu 0.4100 0.4100 0.7253  7 Cu 2.37-2.56, 1 Zn 2.47
Zn 0.3574 0.0000 0.0000  9 Cu 2.47-2.69, 1 Zn 2.73
Zn 0.6426 0.6426 0.6426  9 Cu 2.47-2.69, 1 Zn 2.73
Zn 0.0000 0.3574 0.0000  9 Cu 2.47-2.69, 1 Zn 2.73
Zn 0.0000 0.0000 0.3574  9 Cu 2.47-2.69, 1 Zn 2.73
Zn 0.0000 0.0000 0.0000  4 Zn 2.73, 12 Cu 2.78

Results
symmetry = No. 217


No. 5
The following is a DFT calculation (GGA-PBEsol) of a relaxed Zn4Cu5 crystal.

Cell lengths 4.9909, 7.1614, 7.1614 Å; angles 120.00, 90.00, 90.00 degrees
Closest atoms and distances in Å follow each position.
Sites, in units of the cell vectors:
Cu 0.7500 0.0000 0.6894  7 Zn 2.36-2.55
Cu 0.7500 0.6894 0.0000  7 Zn 2.36-2.55
Cu 0.7500 0.3106 0.3106  7 Zn 2.36-2.55
Cu 0.2500 0.0000 0.3106  7 Zn 2.36-2.55
Cu 0.2500 0.3106 0.0000  7 Zn 2.36-2.55
Cu 0.2500 0.6894 0.6894  7 Zn 2.36-2.55
Cu 0.0000 0.3333 0.6667  8 Cu 2.50-2.77, 6 Zn 2.62
Cu 0.5000 0.6667 0.3333  8 Cu 2.50-2.77, 6 Zn 2.62
Cu 0.0000 0.6667 0.3333  8 Cu 2.50-2.77, 6 Zn 2.62
Cu 0.5000 0.3333 0.6667  8 Cu 2.50-2.77, 6 Zn 2.62
Zn 0.0000 0.0000 0.0000  2 Zn 2.50, 6 Cu 2.55
Zn 0.5000 0.0000 0.0000  2 Zn 2.50, 6 Cu 2.55
Zn 0.7500 0.0000 0.3594  9 Cu 2.36-2.62
Zn 0.7500 0.3594 0.0000  9 Cu 2.36-2.62
Zn 0.7500 0.6406 0.6406  9 Cu 2.36-2.62
Zn 0.2500 0.0000 0.6406  9 Cu 2.36-2.62
Zn 0.2500 0.6406 0.0000  9 Cu 2.36-2.62
Zn 0.2500 0.3594 0.3594  9 Cu 2.36-2.62

Results
energy above the lowest structure with this stoichiometry = 26 meV/atom
symmetry = No. 193


No. 6
The following is a DFT calculation (GGA-PBEsol) of a relaxed Zn3Cu4 crystal.

Cell lengths 2.9299, 2.9299, 10.1760 Å; angles 98.28, 98.28, 90.00 degrees
Closest atoms and distances in Å follow each position.
Sites, in units of the cell vectors:
Cu 0.1393 0.1393 0.2786  4 Cu 2.48, 5 Zn 2.50-2.78
Cu 0.8607 0.8607 0.7214  4 Cu 2.48, 5 Zn 2.50-2.78
Cu 0.4292 0.4292 0.8585  4 Cu 2.48, 5 Zn 2.51-2.76
Cu 0.5708 0.5708 0.1415  4 Cu 2.48, 5 Zn 2.51-2.76
Zn 0.0000 0.0000 0.0000  10 Cu 2.51-2.78
Zn 0.2909 0.2909 0.5817  5 Cu 2.50-2.76, 4 Zn 2.63
Zn 0.7091 0.7091 0.4183  5 Cu 2.50-2.76, 4 Zn 2.63

Results
symmetry = No. 139


No. 7
The following is a DFT calculation (GGA-PBEsol) of a relaxed ZnCu2 crystal.

Cell lengths 2.5916, 4.8873, 6.1123 Å; angles 105.63, 90.00, 105.38 degrees
Closest atoms and distances in Å follow each position.
Sites, in units of the cell vectors:
Cu 0.9709 0.9418 0.6994  7 Cu 2.54-2.64, 5 Zn 2.54-2.57
Cu 0.6382 0.2765 0.0291  9 Cu 2.53-2.59, 3 Zn 2.54-2.55
Cu 0.3618 0.7235 0.9709  9 Cu 2.53-2.59, 3 Zn 2.54-2.55
Cu 0.0291 0.0582 0.3006  7 Cu 2.54-2.64, 5 Zn 2.54-2.57
Zn 0.3098 0.6196 0.3567  8 Cu 2.54-2.57, 4 Zn 2.59-2.67
Zn 0.6902 0.3804 0.6433  8 Cu 2.54-2.57, 4 Zn 2.59-2.67

Results
symmetry = No. 12


No. 8
The following is a DFT calculation (GGA-PBEsol) of a relaxed Zn2Cu crystal.

Cell lengths 3.7299, 3.7299, 11.2916 Å; angles 99.51, 99.51, 90.00 degrees
Closest atoms and distances in Å follow each position.
Sites, in units of the cell vectors:
Cu 0.1668 0.6668 0.3336  10 Zn 2.59-2.64, 2 Cu 2.62
Cu 0.3332 0.8332 0.6664  10 Zn 2.59-2.64, 2 Cu 2.62
Cu 0.9168 0.9168 0.8336  10 Zn 2.59-2.64, 2 Cu 2.62
Cu 0.0832 0.0832 0.1664  10 Zn 2.59-2.64, 2 Cu 2.62
Zn 0.0003 0.5003 0.0007  4 Cu 2.61-2.62, 8 Zn 2.63-2.64
Zn 0.4997 0.9997 0.9993  4 Cu 2.61-2.62, 8 Zn 2.63-2.64
Zn 0.7503 0.7503 0.5007  4 Cu 2.61-2.62, 8 Zn 2.63-2.64
Zn 0.2497 0.2497 0.4993  4 Cu 2.61-2.62, 8 Zn 2.63-2.64
Zn 0.8349 0.3349 0.6698  6 Zn 2.57-2.64, 6 Cu 2.59-2.64
Zn 0.6651 0.1651 0.3302  6 Zn 2.57-2.64, 6 Cu 2.59-2.64
Zn 0.5849 0.5849 0.1698  6 Zn 2.57-2.64, 6 Cu 2.59-2.64
Zn 0.4151 0.4151 0.8302  6 Zn 2.57-2.64, 6 Cu 2.59-2.64

Results
symmetry = No. 141


The calculation returns the following E_tot values, one per record and in order: -19.41, -23.46, -10.42, -111.04, -28.45, -22.47, -10.44, -7.70 eV/f.u..